Entry from Alexandria via LeMat-Bulk: a relaxed Ce2ErAs3 crystal (PBE).

Lattice parameters (Å, degrees): 4.1724 5.9063 7.2243 114.13 106.78 90.00
Last column: nearest neighbours and their distance in Å.
Fractional positions:
As 0.1632 0.6632 0.8264  2 Er 2.92, 4 Ce 2.95-2.97
As 0.8368 0.3368 0.1736  2 Er 2.92, 4 Ce 2.95-2.97
As 0.5000 0.0000 0.5000  2 Er 2.95, 4 Ce 2.96
Ce 0.1674 0.1674 0.8348  6 As 2.95-2.97
Ce 0.8326 0.8326 0.1652  6 As 2.95-2.97
Er 0.5000 0.5000 0.5000  6 As 2.92-2.95

Values from the calculation:
E_form	-1.448	eV per atom
SG	Immm (71)
electronic total energy	-0.479	Ry/atom
V	154.13	Å³ per cell
DOS at the Fermi energy	10.867	states/eV/f.u.

***

Entry from Alexandria via LeMat-Bulk: a relaxed Ce2Er2As5 crystal (PBE).

Lattice parameters (Å, degrees): 7.7173 8.2040 8.2040 124.12 90.00 90.00
Last column: nearest neighbours and their distance in Å.
Fractional positions:
As 0.3510 0.7118 0.9856  3 Er 2.88-3.10, 3 Ce 2.96-3.06
As 0.8510 0.5144 0.7882  3 Er 2.88-3.10, 3 Ce 2.96-3.06
As 0.0000 0.0000 0.0000  2 Ce 2.80, 4 Er 2.89-2.91
As 0.6490 0.2882 0.0144  3 Er 2.88-3.10, 3 Ce 2.96-3.06
As 0.1490 0.4856 0.2118  3 Er 2.88-3.10, 3 Ce 2.96-3.06
As 0.5000 0.5000 0.5000  2 Ce 2.80, 4 Er 2.89-2.91
As 0.8510 0.7882 0.5144  3 Er 2.88-3.10, 3 Ce 2.96-3.06
As 0.6490 0.0144 0.2882  3 Er 2.88-3.10, 3 Ce 2.96-3.06
As 0.3510 0.9856 0.7118  3 Er 2.88-3.10, 3 Ce 2.96-3.06
As 0.1490 0.2118 0.4856  3 Er 2.88-3.10, 3 Ce 2.96-3.06
Ce 0.0000 0.8067 0.1933  7 As 2.80-3.06
Ce 0.5000 0.6933 0.3067  7 As 2.80-3.06
Ce 0.0000 0.1933 0.8067  7 As 2.80-3.06
Ce 0.5000 0.3067 0.6933  7 As 2.80-3.06
Er 0.8409 0.3433 0.3433  8 As 2.88-3.10
Er 0.1591 0.6567 0.6567  8 As 2.88-3.10
Er 0.6591 0.8433 0.8433  8 As 2.88-3.10
Er 0.3409 0.1567 0.1567  8 As 2.88-3.10

Values from the calculation:
E_form	-1.198	eV per atom
SG	Cmce (64)
electronic total energy	-0.449	Ry/atom
V	430.02	Å³ per cell
DOS at the Fermi energy	7.725	states/eV/f.u.

***

Entry from Alexandria via LeMat-Bulk: a relaxed Ce3ErAs4 crystal (PBE).

Lattice parameters (Å, degrees): 4.1855 7.2441 7.2441 109.47 90.00 90.00
Last column: nearest neighbours and their distance in Å.
Fractional positions:
Ce 0.5000 0.5000 0.5000  6 As 2.99
Ce 0.0000 0.0000 0.5000  6 As 2.96
Ce 0.0000 0.5000 0.0000  6 As 2.96
Er 0.5000 0.0000 0.0000  6 As 2.92-2.93
As 0.0000 0.7548 0.7548  2 Er 2.93, 4 Ce 2.96-2.99
As 0.5000 0.7528 0.2472  1 Er 2.92, 5 Ce 2.96-2.99
As 0.5000 0.2472 0.7528  1 Er 2.92, 5 Ce 2.96-2.99
As 0.0000 0.2452 0.2452  2 Er 2.93, 4 Ce 2.96-2.99

Values from the calculation:
E_form	-1.442	eV per atom
SG	Cmmm (65)
electronic total energy	-0.482	Ry/atom
V	207.08	Å³ per cell
DOS at the Fermi energy	16.098	states/eV/f.u.

***

Entry from Alexandria via LeMat-Bulk: a relaxed CeEr5As6 crystal (PBE).

Lattice parameters (Å, degrees): 7.1054 7.1054 7.1098 99.60 99.60 119.99
Last column: nearest neighbours and their distance in Å.
Fractional positions:
As 0.9160 0.5802 0.7478  5 Er 2.89-2.90, 1 Ce 2.92
As 0.5802 0.9160 0.7478  5 Er 2.89-2.90, 1 Ce 2.92
As 0.7479 0.7479 0.2507  5 Er 2.89-2.90, 1 Ce 2.92
As 0.4198 0.0840 0.2522  5 Er 2.89-2.90, 1 Ce 2.92
As 0.2521 0.2521 0.7493  5 Er 2.89-2.90, 1 Ce 2.92
As 0.0840 0.4198 0.2522  5 Er 2.89-2.90, 1 Ce 2.92
Er 0.1659 0.8341 0.5000  6 As 2.89-2.90
Er 0.6667 0.3333 0.0000  6 As 2.90
Er 0.5000 0.5000 0.5000  6 As 2.89-2.90
Er 0.3333 0.6667 0.0000  6 As 2.90
Er 0.8341 0.1659 0.5000  6 As 2.89-2.90
Ce 0.0000 0.0000 0.0000  6 As 2.92

Values from the calculation:
E_form	-1.505	eV per atom
SG	C2/m (12)
electronic total energy	-0.458	Ry/atom
V	293.10	Å³ per cell
DOS at the Fermi energy	5.621	states/eV/f.u.